Record 1
Entry from Alexandria: a relaxed PmSmMg crystal (PBE-GGA).

Lattice parameters (Å, degrees): 5.2395 13.4332 5.2397 90.00 90.00 90.00
Closest atoms and distances in Å follow each position.
Space group Cmcm (No. 63)
Asymmetric unit:
Pm 0.0000 0.0912 0.2500 [4 per cell]  4 Mg 3.38, 6 Sm 3.59-3.70, 2 Pm 3.59
Sm 0.0000 0.4089 0.2500 [4 per cell]  4 Mg 3.38, 2 Sm 3.59, 6 Pm 3.59-3.70
Mg 0.0000 0.2498 0.7500 [4 per cell]  4 Pm 3.38, 4 Sm 3.38, 4 Mg 3.70

Calculated values
* DFT formation energy: -0.05 eV per atom

Record 2
Entry from Alexandria: a relaxed Mg2ZnCu crystal (PBE-GGA).

Lattice parameters (Å, degrees): 3.0797 4.2692 5.4529 90.00 106.30 90.00
Closest atoms and distances in Å follow each position.
Space group Pm (No. 6)
Asymmetric unit:
Mg 0.0000 0.0000 0.0000 [1 per cell]  4 Zn 2.83, 3 Cu 2.83-2.85, 2 Mg 3.08
Mg 0.3242 0.5000 0.6487 [1 per cell]  4 Cu 2.81-2.82, 3 Zn 2.82-2.87, 2 Mg 3.08
Zn 0.5991 0.5000 0.1972 [1 per cell]  2 Cu 2.54, 6 Mg 2.82-2.83
Cu 0.7284 0.0000 0.4591 [1 per cell]  2 Zn 2.54, 5 Mg 2.81-2.83

Calculated values
* DFT formation energy: -0.09 eV per atom

Record 3
Entry from Alexandria: a relaxed LaCoSi crystal (PBE-GGA).

Lattice parameters (Å, degrees): 4.0454 4.0454 7.3290 90.00 90.00 90.00
Closest atoms and distances in Å follow each position.
Space group P4/nmm (No. 129, origin choice 2)
Asymmetric unit:
La 0.2500 0.2500 0.1901 [2 per cell]  4 Co 3.04, 4 Si 3.07
Co 0.2500 0.7500 0.5000 [2 per cell]  4 Si 2.33
Si 0.2500 0.2500 0.6589 [2 per cell]  4 Co 2.33

Calculated values
* formation energy (no corrections): -0.6909 eV per atom